Crystalline SrGa2Rh at its relaxed geometry. Source: Alexandria, functional PBE.

Calculated values
The value obtained for the calculated formation energy is -56.62 kJ per mole of atoms. The value obtained for the magnetic moment is 0.00 μB/atom. The density of states at the Fermi level comes out at 3.8 states/eV per cell. The energy comes out at -52.303 eV for the cell shown.

Cell and atoms, written as CIF:
```
data_SrGa2Rh
_symmetry_space_group_name_H-M 'R -3 m'
_symmetry_Int_Tables_number 166
_symmetry_space_group_name_Hall '-R 3 2"'
_cell_length_a 4.3033
_cell_length_b 4.3033
_cell_length_c 16.6932
_cell_angle_alpha 90.00
_cell_angle_beta 90.00
_cell_angle_gamma 120.00
loop_
_atom_site_label
_atom_site_type_symbol
_atom_site_fract_x
_atom_site_fract_y
_atom_site_fract_z
Sr1 Sr 0.0000 0.0000 0.0000
Ga1 Ga 0.0000 0.0000 0.2036
Rh1 Rh 0.0000 0.0000 0.5000
```